DFT (PBE-GGA) results for a geometry-optimized Ti5HO structure.

## Properties
E in eV per atom: -7.515

a = 8.8759 Å, b = 5.7549 Å, c = 7.6656 Å
α = 90.00°, β = 108.53°, γ = 90.00°
Closest atoms and distances in Å follow each position.
Space group Cc (No. 9)
Symmetry-distinct sites (fractional):
Ti 0.0000 0.0664 0.0000 x4  1 O 2.12
Ti 0.1986 0.4064 0.0032 x4  2 H 1.95-2.03, 1 O 2.15
Ti 0.2259 0.1408 0.3622 x4  2 O 2.09-2.15, 1 H 2.21
Ti 0.3517 0.2524 0.7381 x4  1 H 2.01, 1 O 2.11
Ti 0.4852 0.1566 0.1512 x4  1 H 2.01, 1 O 2.07
H 0.1972 0.4989 0.7578 x4  4 Ti 1.95-2.03
O 0.2517 0.0594 0.1070 x4  6 Ti 2.07-2.15



DFT (PBE-GGA) results for a geometry-optimized Li2CaHo structure.

## Properties
E_form in eV/atom: 0.184

a = 3.5277 Å, b = 3.5277 Å, c = 32.9431 Å
α = 90.00°, β = 90.00°, γ = 120.00°
Closest atoms and distances in Å follow each position.
Space group R3m (No. 160, hexagonal axes)
Symmetry-distinct sites (fractional):
Li 0.0000 0.0000 0.0000 x3  3 Ho 3.34, 3 Ca 3.49, 6 Li 3.53
Li 0.0000 0.0000 0.1609 x3  3 Ho 3.35, 3 Ca 3.50, 6 Li 3.53
Ca 0.0000 0.0000 0.5807 x3  6 Li 3.49-3.50, 6 Ca 3.53
Ho 0.0000 0.0000 0.7469 x3  6 Li 3.34-3.35, 6 Ho 3.53



DFT (PBE-GGA) results for a geometry-optimized Mg3Tc structure.

## Properties
E_form in eV/atom: 0.225

a = 2.8901 Å, b = 2.8901 Å, c = 9.1329 Å
α = 90.00°, β = 90.00°, γ = 90.00°
Closest atoms and distances in Å follow each position.
Space group P4/mmm (No. 123)
Symmetry-distinct sites (fractional):
Mg 0.0000 0.0000 0.0000 x1  4 Mg 2.89
Mg 0.5000 0.5000 0.2804 x2  4 Tc 2.86, 4 Mg 2.89
Tc 0.0000 0.0000 0.5000 x1  8 Mg 2.86, 4 Tc 2.89



DFT (PBE-GGA) results for a geometry-optimized ScFeGe3 structure.

## Properties
E_form in eV/atom: 0.114

a = 4.5524 Å, b = 4.5524 Å, c = 4.5524 Å
α = 90.00°, β = 90.00°, γ = 90.00°
Closest atoms and distances in Å follow each position.
Space group Pm-3m (No. 221)
Symmetry-distinct sites (fractional):
Sc 0.0000 0.0000 0.0000 x1  12 Ge 3.22
Fe 0.5000 0.5000 0.5000 x1  6 Ge 2.28
Ge 0.0000 0.5000 0.5000 x3  2 Fe 2.28



DFT (PBE-GGA) results for a geometry-optimized Ce2Sm3ScAs6 structure.

## Properties
E_form in eV/atom: -1.452

a = 18.1330 Å, b = 4.1680 Å, c = 8.3276 Å
α = 90.00°, β = 103.43°, γ = 90.00°
Closest atoms and distances in Å follow each position.
Space group C2/m (No. 12)
Symmetry-distinct sites (fractional):
Ce 0.1643 0.0000 0.3297 x4  6 As 2.90-2.96
Sm 0.0000 0.5000 0.5000 x2  6 As 2.96-3.03
Sm 0.1672 0.0000 0.8351 x4  6 As 2.95-3.03
Sc 0.0000 0.5000 0.0000 x2  6 As 2.84-2.87
As 0.9997 0.0000 0.2364 x4  2 Sc 2.87, 1 Ce 2.90, 3 Sm 2.95-3.03
As 0.1612 0.5000 0.0819 x4  1 Sc 2.84, 2 Ce 2.92, 3 Sm 2.95-3.03
As 0.1677 0.5000 0.5819 x4  3 Ce 2.95-2.96, 3 Sm 2.96-2.97



DFT (PBE-GGA) results for a geometry-optimized AcLaDyAl structure.

## Properties
E_form in eV/atom: 0.047

a = 7.9357 Å, b = 7.9357 Å, c = 7.9357 Å
α = 90.00°, β = 90.00°, γ = 90.00°
Closest atoms and distances in Å follow each position.
Space group F-43m (No. 216)
Symmetry-distinct sites (fractional):
Ac 0.0000 0.0000 0.0000 x4  4 Dy 3.44, 4 La 3.44
La 0.2500 0.2500 0.7500 x4  4 Ac 3.44, 4 Al 3.44
Dy 0.2500 0.2500 0.2500 x4  4 Al 3.44, 4 Ac 3.44
Al 0.0000 0.0000 0.5000 x4  4 La 3.44, 4 Dy 3.44



DFT (PBE-GGA) results for a geometry-optimized Nd19Sm4Tm6 structure.

## Properties
E_form in eV/atom: 0.367

a = 12.7177 Å, b = 12.7177 Å, c = 12.7177 Å
α = 90.00°, β = 90.00°, γ = 90.00°
Closest atoms and distances in Å follow each position.
Space group I23 (No. 197)
Symmetry-distinct sites (fractional):
Nd 0.0000 0.0000 0.0000 x2  6 Nd 3.33
Nd 0.0000 0.0000 0.2619 x12  5 Nd 3.33-3.65, 2 Tm 3.41, 2 Sm 3.42
Nd 0.0608 0.2805 0.7353 x24  1 Tm 3.22, 2 Sm 3.39-3.49, 1 Nd 3.46
Sm 0.1812 0.1812 0.1812 x8  9 Nd 3.39-3.49
Tm 0.0000 0.1239 0.5000 x12  1 Tm 3.15, 4 Nd 3.22-3.41



DFT (PBE-GGA) results for a geometry-optimized CsEuBi4 structure.

## Properties
E_form in eV/atom: -0.290

a = 9.6290 Å, b = 9.6290 Å, c = 9.6290 Å
α = 90.00°, β = 90.00°, γ = 90.00°
Closest atoms and distances in Å follow each position.
Space group F-43m (No. 216)
Symmetry-distinct sites (fractional):
Cs 0.0000 0.0000 0.0000 x4  12 Bi 3.99, 4 Eu 4.17
Eu 0.2500 0.2500 0.7500 x4  12 Bi 3.99, 4 Cs 4.17
Bi 0.1244 0.1244 0.3756 x16  6 Bi 3.39-3.42



DFT (PBE-GGA) results for a geometry-optimized CaRe2Se structure.

## Properties
ΔE_f (raw) in eV per formula unit: 1.8

a = 3.4618 Å, b = 5.3280 Å, c = 8.8523 Å
α = 90.00°, β = 90.00°, γ = 90.00°
Closest atoms and distances in Å follow each position.
Space group Imm2 (No. 44)
Symmetry-distinct sites (fractional):
Ca 0.0000 0.0000 0.0000 x2  2 Se 2.93, 6 Re 3.10-3.18
Re 0.0000 0.0000 0.5097 x2  2 Re 2.41, 2 Se 2.63
Re 0.0000 0.5000 0.8205 x2  2 Re 2.41
Se 0.0000 0.5000 0.2333 x2  2 Re 2.63, 2 Ca 2.93



DFT (PBE-GGA) results for a geometry-optimized Y3Ag structure.

## Properties
E_form in eV/atom: -0.080

a = 8.5069 Å, b = 10.5759 Å, c = 5.0211 Å
α = 90.00°, β = 90.00°, γ = 90.00°
Closest atoms and distances in Å follow each position.
Space group Cmcm (No. 63)
Symmetry-distinct sites (fractional):
Y 0.0000 0.1084 0.2500 x4  2 Ag 3.33, 10 Y 3.40-3.54
Y 0.2065 0.3841 0.2500 x8  3 Ag 3.15-3.26, 5 Y 3.40-3.51
Ag 0.0000 0.3147 0.7500 x4  8 Y 3.15-3.33



DFT (PBE-GGA) results for a geometry-optimized Cs3Pb2Br3F4 structure.

## Properties
ΔE_f (raw) in eV per formula unit: -24.2

a = 6.0177 Å, b = 28.0410 Å, c = 4.8252 Å
α = 90.00°, β = 90.00°, γ = 90.00°
Closest atoms and distances in Å follow each position.
Space group Imm2 (No. 44)
Symmetry-distinct sites (fractional):
Cs 0.0000 0.0000 0.0000 x2  8 Br 3.78-3.86
Cs 0.0000 0.1969 0.9997 x4  1 F 2.83
Pb 0.0000 0.3798 0.0027 x4  3 F 2.30-2.45
Br 0.0000 0.1037 0.4998 x4  2 Pb 3.04
Br 0.0000 0.5000 0.0001 x2  2 Pb 3.37
F 0.0000 0.2976 0.0042 x4  1 Pb 2.30
F 0.0000 0.3656 0.5037 x4  2 Pb 2.44-2.45



DFT (PBE-GGA) results for a geometry-optimized ScMoRu structure.

## Properties
E_form in eV/atom: -0.057

a = 4.4241 Å, b = 4.4241 Å, c = 2.9018 Å
α = 90.00°, β = 90.00°, γ = 120.00°
Closest atoms and distances in Å follow each position.
Space group P3m1 (No. 156)
Symmetry-distinct sites (fractional):
Sc 0.0000 0.0000 0.0000 x1  3 Ru 2.75, 3 Mo 2.77, 2 Sc 2.90
Mo 0.6667 0.3333 0.3728 x1  3 Ru 2.68, 3 Sc 2.77, 2 Mo 2.90
Ru 0.3333 0.6667 0.6479 x1  3 Mo 2.68, 3 Sc 2.75, 2 Ru 2.90



DFT (PBE-GGA) results for a geometry-optimized Ho2TmPu structure.

## Properties
E_form in eV/atom: 0.087

a = 3.5119 Å, b = 3.5119 Å, c = 33.7239 Å
α = 90.00°, β = 90.00°, γ = 120.00°
Closest atoms and distances in Å follow each position.
Space group R3m (No. 160, hexagonal axes)
Symmetry-distinct sites (fractional):
Ho 0.0000 0.0000 0.0000 x3  3 Pu 3.44, 3 Tm 3.46, 6 Ho 3.51
Ho 0.0000 0.0000 0.1675 x3  3 Pu 3.47, 3 Tm 3.49, 6 Ho 3.51
Tm 0.0000 0.0000 0.7500 x3  6 Ho 3.46-3.49, 6 Tm 3.51
Pu 0.0000 0.0000 0.5842 x3  6 Ho 3.44-3.47, 6 Pu 3.51



DFT (PBE-GGA) results for a geometry-optimized K2Tm2PdO6 structure.

## Properties
ΔE_f (raw) in eV per formula unit: -23.8

a = 5.7205 Å, b = 9.8374 Å, c = 6.5823 Å
α = 90.00°, β = 105.25°, γ = 90.00°
Closest atoms and distances in Å follow each position.
Space group C2/m (No. 12)
Symmetry-distinct sites (fractional):
K 0.0000 0.1610 0.0000 x4  6 O 2.72-2.94
Tm 0.0000 0.3352 0.5000 x4  6 O 2.24-2.26
Pd 0.0000 0.0000 0.5000 x2  6 O 2.09-2.11
O 0.2083 0.1590 0.6730 x8  1 Pd 2.11, 2 Tm 2.24-2.26
O 0.2439 0.5000 0.6751 x4  1 Pd 2.09, 2 Tm 2.25



DFT (PBE-GGA) results for a geometry-optimized NaAs12Ir4 structure.

## Properties
E_form in eV/atom: -0.423

a = 8.6481 Å, b = 8.6481 Å, c = 8.6481 Å
α = 90.00°, β = 90.00°, γ = 90.00°
Closest atoms and distances in Å follow each position.
Space group Im-3 (No. 204)
Symmetry-distinct sites (fractional):
Na 0.0000 0.0000 0.0000 x2  12 As 3.26
As 0.0000 0.3473 0.1464 x24  2 Ir 2.49, 2 As 2.53-2.64
Ir 0.2500 0.2500 0.2500 x8  6 As 2.49



DFT (PBE-GGA) results for a geometry-optimized Y2TlSb structure.

## Properties
ΔE_f (raw) in eV per formula unit: -2.3

a = 6.8356 Å, b = 8.3235 Å, c = 3.8464 Å
α = 90.00°, β = 90.10°, γ = 90.00°
Closest atoms and distances in Å follow each position.
Space group C2/m (No. 12)
Symmetry-distinct sites (fractional):
Y 0.2500 0.2500 0.0000 x4  4 Tl 3.31, 4 Sb 3.31, 2 Y 3.42
Tl 0.0000 0.0000 0.5000 x2  8 Y 3.31, 2 Sb 3.42
Sb 0.0000 0.5000 0.5000 x2  8 Y 3.31, 2 Tl 3.42



DFT (PBE-GGA) results for a geometry-optimized Y8In2Ga structure.

## Properties
E_form in eV/atom: -0.284

a = 18.8904 Å, b = 5.1598 Å, c = 6.7979 Å
α = 90.00°, β = 104.43°, γ = 90.00°
Closest atoms and distances in Å follow each position.
Space group C2/m (No. 12)
Symmetry-distinct sites (fractional):
Y 0.0178 0.0000 0.2731 x4  2 Ga 3.07, 1 In 3.17, 3 Y 3.32-3.43
Y 0.0912 0.5000 0.9590 x4  1 Ga 3.17, 2 In 3.43, 3 Y 3.43-3.44
Y 0.1530 0.5000 0.4790 x4  1 Ga 2.93, 3 In 3.15-3.20
Y 0.2086 0.0000 0.8064 x4  3 In 3.14-3.37, 2 Y 3.40
In 0.1829 0.0000 0.2451 x4  9 Y 3.14-3.43
Ga 0.0000 0.5000 0.5000 x2  8 Y 2.93-3.17



DFT (PBE-GGA) results for a geometry-optimized KW structure.

## Properties
E_form in eV/atom: 1.226

a = 8.8891 Å, b = 2.9877 Å, c = 10.2729 Å
α = 90.00°, β = 92.25°, γ = 90.00°
Closest atoms and distances in Å follow each position.
Space group C2/m (No. 12)
Symmetry-distinct sites (fractional):
K 0.1167 0.0000 0.2913 x4  2 K 2.99
W 0.1342 0.5000 0.9803 x4  3 W 2.44-2.56



DFT (PBE-GGA) results for a geometry-optimized Dy4CoAu structure.

## Properties
E_form in eV/atom: -0.387

a = 8.4130 Å, b = 12.1652 Å, c = 6.0994 Å
α = 90.00°, β = 104.59°, γ = 90.00°
Closest atoms and distances in Å follow each position.
Space group C2/c (No. 15)
Symmetry-distinct sites (fractional):
Dy 0.1017 0.1667 0.0339 x8  2 Co 2.66-2.68
Dy 0.2008 0.4195 0.4179 x8  2 Co 2.97-3.11, 2 Au 3.01-3.09
Co 0.0000 0.0016 0.2500 x4  6 Dy 2.66-2.97
Au 0.0000 0.3704 0.7500 x4  8 Dy 3.01-3.31



DFT (PBE-GGA) results for a geometry-optimized Pr2Zn2Rh5Pb structure.

## Properties
E_form in eV/atom: -0.504

a = 9.8665 Å, b = 9.8665 Å, c = 3.7717 Å
α = 90.00°, β = 90.00°, γ = 90.00°
Closest atoms and distances in Å follow each position.
Space group P4/mbm (No. 127)
Symmetry-distinct sites (fractional):
Pr 0.1764 0.3236 0.0000 x4  3 Zn 2.84-2.98, 6 Rh 3.10-3.17
Zn 0.1204 0.6204 0.0000 x4  6 Rh 2.53-2.56
Rh 0.0000 0.5000 0.5000 x2  4 Zn 2.53
Rh 0.0675 0.7880 0.5000 x8  2 Zn 2.56
Pb 0.0000 0.0000 0.0000 x2  8 Rh 2.89